{
  "formula": "Pr2Nd3Sm6",
  "functional": "PBE-GGA",
  "state": "relaxed",
  "spacegroup": "P-1 (2)",
  "dos_ef_per_ev_atom": 1.4392,
  "delta_e_f_kj_per_mol_atoms": 1.2,
  "polymorph_energy_ev_per_fu": 0.00,
  "mass_density_g_cm3": 7.0,
  "lattice_angstrom": [[7.569, -1.014, 2.938], [-0.915, 5.901, 2.152], [6.050, 4.095, 13.188]],
  "species": ["Sm", "Sm", "Sm", "Sm", "Sm", "Sm", "Pr", "Pr", "Nd", "Nd", "Nd"],
  "fractional_positions": [[0.272, 0.182, 0.455], [0.728, 0.818, 0.545], [0.908, 0.274, 0.182], [0.363, 0.908, 0.274], [0.637, 0.092, 0.726], [0.092, 0.726, 0.818], [0.547, 0.366, 0.908], [0.453, 0.634, 0.092], [0.816, 0.544, 0.365], [0.000, 0.000, 0.000], [0.184, 0.456, 0.635]]
}